This record from the Alexandria database describes CrBiAsO6 after structural relaxation. The functional is GGA+U.

Calculated values
Electronic total energy: -6.478 eV/atom

Cell lengths 5.102, 8.675, 5.009 Å; angles 90.00, 91.12, 90.00 degrees
Space group C2 (No. 5)
Inequivalent atoms, fractional coordinates:
Cr 0.000 0.000 0.000 (multiplicity 2)
Bi 0.000 0.334 0.500 (multiplicity 2)
As 0.000 0.659 0.000 (multiplicity 2)
O 0.126 0.821 0.207 (multiplicity 4)
O 0.179 0.517 0.213 (multiplicity 4)
O 0.199 0.136 0.211 (multiplicity 4)